Compound: SrTaAu
Source: the Alexandria database
Functional: PBE-GGA
Structure: optimized geometry

It has space group R-3m (No. 166, hexagonal axes), with a = 4.4730 Å, b = 4.4730 Å, c = 31.9108 Å, α = 90.00°, β = 90.00° and γ = 120.00°. Symmetry generates all atoms from Sr at (0.0000, 0.0000, 0.2291), Ta at (0.0000, 0.0000, 0.3539) and Au at (0.0000, 0.0000, 0.0454).

The calculated formation energy is 60 meV/atom. Its energy above the lowest structure with this stoichiometry is 0.38 eV/f.u.

Compound: SrTa3Au
Source: the Alexandria database
Functional: PBE-GGA
Structure: optimized geometry

It has space group Pm-3m (No. 221), with a = 4.832 Å, b = 4.832 Å, c = 4.832 Å, α = 90.00°, β = 90.00° and γ = 90.00°. Symmetry generates all atoms from Sr at (0.000, 0.000, 0.000), Ta at (0.000, 0.000, 0.500) and Au at (0.500, 0.500, 0.500).

The calculated formation energy is 2883 meV/atom. Its energy above the lowest structure with this stoichiometry is 6.71 eV/f.u.

Compound: Sr2TaAu
Source: the Alexandria database
Functional: PBE-GGA
Structure: optimized geometry

It has space group I-42d (No. 122), with a = 8.808 Å, b = 8.808 Å, c = 6.267 Å, α = 90.00°, β = 90.00° and γ = 90.00°. Symmetry generates all atoms from Sr at (0.211, 0.250, 0.125), Ta at (0.000, 0.000, 0.500) and Au at (0.000, 0.000, 0.000).

The calculated formation energy is 762 meV/atom. Its energy above the lowest structure with this stoichiometry is 1.97 eV/f.u.

Compound: Sr2TaAu
Source: the Alexandria database
Functional: PBE-GGA
Structure: optimized geometry

It has space group Cmm2 (No. 35), with a = 4.983 Å, b = 4.993 Å, c = 9.630 Å, α = 90.00°, β = 90.00° and γ = 90.00°. Symmetry generates all atoms from Sr at (0.000, 0.000, 0.000), Sr at (0.000, 0.500, 0.382), Ta at (0.000, 0.000, 0.630) and Au at (0.000, 0.500, 0.763).

The calculated formation energy is 268 meV/atom. Its energy above the lowest structure with this stoichiometry is 0.00 eV/f.u.

Compound: SrTaAu
Source: the Alexandria database
Functional: PBE-GGA
Structure: optimized geometry

It has space group P-6m2 (No. 187), with a = 4.4755 Å, b = 4.4755 Å, c = 4.8733 Å, α = 90.00°, β = 90.00° and γ = 120.00°. Symmetry generates all atoms from Sr at (0.0000, 0.0000, 0.0000), Ta at (0.6667, 0.3333, 0.5000) and Au at (0.3333, 0.6667, 0.5000).

The calculated formation energy is 331 meV/atom. Its energy above the lowest structure with this stoichiometry is 1.20 eV/f.u.

Compound: SrTaAu
Source: the Alexandria database
Functional: PBE-GGA
Structure: optimized geometry

It has space group Pnma (No. 62), with a = 8.194 Å, b = 3.142 Å, c = 10.991 Å, α = 90.00°, β = 90.00° and γ = 90.00°. Symmetry generates all atoms from Sr at (0.161, 0.250, 0.104), Ta at (0.059, 0.250, 0.404) and Au at (0.164, 0.250, 0.810).

The calculated formation energy is 152 meV/atom. Its energy above the lowest structure with this stoichiometry is 0.66 eV/f.u.

Compound: SrTaAu
Source: the Alexandria database
Functional: PBE-GGA
Structure: optimized geometry

It has space group Cmcm (No. 63), with a = 4.723 Å, b = 12.113 Å, c = 5.361 Å, α = 90.00°, β = 90.00° and γ = 90.00°. Symmetry generates all atoms from Sr at (0.000, 0.211, 0.250), Ta at (0.000, 0.500, 0.000) and Au at (0.000, 0.068, 0.750).

The calculated formation energy is -13 meV/atom. Its energy above the lowest structure with this stoichiometry is 0.16 eV/f.u.

Compound: SrTaAu
Source: the Alexandria database
Functional: PBE-GGA
Structure: optimized geometry

It has space group Ima2 (No. 46), with a = 6.554 Å, b = 8.417 Å, c = 5.265 Å, α = 90.00°, β = 90.00° and γ = 90.00°. Symmetry generates all atoms from Sr at (0.250, 0.122, 0.000), Ta at (0.250, 0.738, 0.781) and Au at (0.000, 0.000, 0.507).

The calculated formation energy is 26 meV/atom. Its energy above the lowest structure with this stoichiometry is 0.28 eV/f.u.